# 1
First-principles (PBE-GGA) data for an optimized crystal structure of Tm2Co3Sn2, as listed in Alexandria via LeMat-Bulk.

The structure belongs to space group I2_13 (No. 199); the cell edges are 8.1709, 8.1709 and 8.1709 Å and the angles 90.00°, 90.00° and 90.00°. Symmetry generates all atoms from Tm at (0.0083, 0.0083, 0.0083), Co at (0.0000, 0.2500, 0.2204) and Sn at (0.2040, 0.2960, 0.7040).

The crystal system is cubic. As for the volume: 136 Å³/f.u. The value obtained for the formation enthalpy at 0 K is -0.1654 eV per atom.



# 2
First-principles (PBE-GGA) data for an optimized crystal structure of TmCoSn6, as listed in Alexandria via LeMat-Bulk.

The structure belongs to space group C2/m (No. 12); the cell edges are 6.4135, 10.5936 and 6.6368 Å and the angles 90.00°, 117.71° and 90.00°. Symmetry generates all atoms from Tm at (0.0000, 0.0000, 0.0000), Co at (0.0000, 0.0000, 0.5000), Sn at (0.0586, 0.5000, 0.2968) and Sn at (0.1123, 0.2186, 0.7486).

The crystal system is monoclinic. As for the volume: 200 Å³/f.u. The value obtained for the formation enthalpy at 0 K is -0.0624 eV per atom.



# 3
First-principles (PBE-GGA) data for an optimized crystal structure of Tm8CoSn2, as listed in Alexandria via LeMat-Bulk.

The structure belongs to space group C2/m (No. 12); the cell edges are 18.7515, 4.9012 and 6.5505 Å and the angles 90.00°, 104.86° and 90.00°. Symmetry generates all atoms from Tm at (0.0175, 0.0000, 0.2849), Tm at (0.0891, 0.5000, 0.9611), Tm at (0.1404, 0.5000, 0.5011), Tm at (0.2172, 0.0000, 0.8197), Co at (0.0000, 0.5000, 0.5000) and Sn at (0.1823, 0.0000, 0.2613).

The crystal system is monoclinic. As for the volume: 291 Å³/f.u. The value obtained for the formation enthalpy at 0 K is -0.3090 eV per atom.



# 4
First-principles (PBE-GGA) data for an optimized crystal structure of Tm3Co2Sn4, as listed in Alexandria via LeMat-Bulk.

The structure belongs to space group C2/m (No. 12); the cell edges are 11.1291, 4.4114 and 8.4133 Å and the angles 90.00°, 105.71° and 90.00°. Symmetry generates all atoms from Tm at (0.0000, 0.0000, 0.0000), Tm at (0.1316, 0.5000, 0.6842), Co at (0.2010, 0.5000, 0.3903), Sn at (0.0877, 0.0000, 0.3870) and Sn at (0.2008, 0.5000, 0.0852).

The crystal system is monoclinic. As for the volume: 199 Å³/f.u. The value obtained for the formation enthalpy at 0 K is -0.4907 eV per atom.



# 5
First-principles (PBE-GGA) data for an optimized crystal structure of TmCoSn2, as listed in Alexandria via LeMat-Bulk.

The structure belongs to space group Immm (No. 71); the cell edges are 4.4020, 9.3199 and 16.6768 Å and the angles 90.00°, 90.00° and 90.00°. Symmetry generates all atoms from Tm at (0.0000, 0.0000, 0.2085), Tm at (0.0000, 0.2293, 0.0000), Co at (0.0000, 0.2524, 0.3551), Sn at (0.0000, 0.0000, 0.4142), Sn at (0.0000, 0.3345, 0.1983) and Sn at (0.0000, 0.5000, 0.4167).

The crystal system is orthorhombic. As for the volume: 86 Å³/f.u. The value obtained for the formation enthalpy at 0 K is -0.3998 eV per atom.



# 6
First-principles (PBE-GGA) data for an optimized crystal structure of Tm5Co2Sn5, as listed in Alexandria via LeMat-Bulk.

The structure belongs to space group C2/m (No. 12); the cell edges are 11.8946, 4.7505 and 10.3134 Å and the angles 90.00°, 96.73° and 90.00°. Symmetry generates all atoms from Tm at (0.0000, 0.0000, 0.0000), Tm at (0.1579, 0.0000, 0.5839), Tm at (0.2207, 0.5000, 0.1020), Co at (0.1203, 0.5000, 0.3204), Sn at (0.0000, 0.5000, 0.5000), Sn at (0.0840, 0.5000, 0.8201) and Sn at (0.1735, 0.0000, 0.2772).

The crystal system is monoclinic. As for the volume: 289 Å³/f.u. The value obtained for the formation enthalpy at 0 K is -0.4085 eV per atom.



# 7
First-principles (PBE-GGA) data for an optimized crystal structure of TmCo2Sn8, as listed in Alexandria via LeMat-Bulk.

The structure belongs to space group C2/m (No. 12); the cell edges are 8.1597, 12.7975 and 4.9433 Å and the angles 90.00°, 94.87° and 90.00°. Symmetry generates all atoms from Tm at (0.0000, 0.0000, 0.0000), Co at (0.0000, 0.3250, 0.5000), Sn at (0.0000, 0.2676, 0.0000), Sn at (0.1132, 0.5000, 0.7728) and Sn at (0.1945, 0.1413, 0.6111).

The crystal system is monoclinic. As for the volume: 257 Å³/f.u. The value obtained for the formation enthalpy at 0 K is -0.0876 eV per atom.



# 8
First-principles (PBE-GGA) data for an optimized crystal structure of TmCoSn, as listed in Alexandria via LeMat-Bulk.

The structure belongs to space group P-6m2 (No. 187); the cell edges are 4.4682, 4.4682 and 3.5084 Å and the angles 90.00°, 90.00° and 120.00°. Symmetry generates all atoms from Tm at (0.0000, 0.0000, 0.0000), Co at (0.3333, 0.6667, 0.5000) and Sn at (0.6667, 0.3333, 0.5000).

The crystal system is hexagonal. As for the volume: 61 Å³/f.u. The value obtained for the formation enthalpy at 0 K is -0.3812 eV per atom.